# 1
## RbMnTl2Br8 (PBE)

Data for a relaxed RbMnTl2Br8 crystal.

Summary:
Uncorrected formation energy = -0.7699 eV per atom

CIF file:
```
data_RbMnTl2Br8
_cell_length_a 6.595
_cell_length_b 7.526
_cell_length_c 9.494
_cell_angle_alpha 90.03
_cell_angle_beta 90.06
_cell_angle_gamma 111.21
_symmetry_space_group_name_H-M 'P -1'
_symmetry_Int_Tables_number 2
loop_
_symmetry_equiv_pos_as_xyz
'x,y,z'
'-x,-y,-z'
loop_
_atom_site_label
_atom_site_type_symbol
_atom_site_fract_x
_atom_site_fract_y
_atom_site_fract_z
_atom_site_occupancy
Rb1 Rb 0.000 0.000 0.000 1
Mn1 Mn 0.000 0.000 0.500 1
Tl1 Tl 0.001 0.500 0.248 1
Br1 Br 0.228 0.806 0.501 1
Br2 Br 0.238 0.207 0.683 1
Br3 Br 0.239 0.206 0.318 1
Br4 Br 0.289 0.690 0.000 1
```

=====

# 2
## RbMnTlBr2 (PBE)

Data for a relaxed RbMnTlBr2 crystal.

Summary:
Uncorrected formation energy = 0.1702 eV per atom

CIF file:
```
data_RbMnTlBr2
_cell_length_a 6.233
_cell_length_b 6.233
_cell_length_c 6.725
_cell_angle_alpha 90.00
_cell_angle_beta 90.00
_cell_angle_gamma 90.00
_symmetry_space_group_name_H-M 'P 4/m m m'
_symmetry_Int_Tables_number 123
_symmetry_space_group_name_Hall '-P 4 2'
loop_
_atom_site_label
_atom_site_type_symbol
_atom_site_fract_x
_atom_site_fract_y
_atom_site_fract_z
_atom_site_occupancy
Rb1 Rb 0.000 0.000 0.000 1
Mn1 Mn 0.500 0.500 0.500 1
Tl1 Tl 0.000 0.000 0.500 1
Br1 Br 0.000 0.500 0.000 1
```

=====

# 3
## Rb2MnTlBr6 (PBE)

Data for a relaxed Rb2MnTlBr6 crystal.

Summary:
Uncorrected formation energy = -1.1358 eV per atom

CIF file:
```
data_Rb2MnTlBr6
_cell_length_a 11.290
_cell_length_b 11.290
_cell_length_c 11.290
_cell_angle_alpha 90.00
_cell_angle_beta 90.00
_cell_angle_gamma 90.00
_symmetry_space_group_name_H-M 'F m -3 m'
_symmetry_Int_Tables_number 225
_symmetry_space_group_name_Hall '-F 4 2 3'
loop_
_atom_site_label
_atom_site_type_symbol
_atom_site_fract_x
_atom_site_fract_y
_atom_site_fract_z
_atom_site_occupancy
Rb1 Rb 0.250 0.250 0.250 1
Mn1 Mn 0.000 0.000 0.000 1
Tl1 Tl 0.000 0.000 0.500 1
Br1 Br 0.000 0.000 0.228 1
```

=====

# 4
## Rb4Mn3TlBr12 (PBE)

Data for a relaxed Rb4Mn3TlBr12 crystal.

Summary:
Uncorrected formation energy = -1.1419 eV per atom

CIF file:
```
data_Rb4Mn3TlBr12
_cell_length_a 11.075
_cell_length_b 11.075
_cell_length_c 11.075
_cell_angle_alpha 90.00
_cell_angle_beta 90.00
_cell_angle_gamma 90.00
_symmetry_space_group_name_H-M 'I m -3 m'
_symmetry_Int_Tables_number 229
_symmetry_space_group_name_Hall '-I 4 2 3'
loop_
_atom_site_label
_atom_site_type_symbol
_atom_site_fract_x
_atom_site_fract_y
_atom_site_fract_z
_atom_site_occupancy
Rb1 Rb 0.250 0.250 0.250 1
Mn1 Mn 0.000 0.000 0.500 1
Tl1 Tl 0.000 0.000 0.000 1
Br1 Br 0.000 0.000 0.275 1
Br2 Br 0.000 0.250 0.500 1
```

=====

# 5
## RbMnTlBr4 (PBE)

Data for a relaxed RbMnTlBr4 crystal.

Summary:
Uncorrected formation energy = -1.1008 eV per atom

CIF file:
```
data_RbMnTlBr4
_cell_length_a 7.614
_cell_length_b 7.623
_cell_length_c 9.527
_cell_angle_alpha 90.00
_cell_angle_beta 108.46
_cell_angle_gamma 90.00
_symmetry_space_group_name_H-M 'P 1 21/m 1'
_symmetry_Int_Tables_number 11
loop_
_symmetry_equiv_pos_as_xyz
'x,y,z'
'-x,-y,-z'
'-x,y+1/2,-z'
'x,-y+1/2,z'
loop_
_atom_site_label
_atom_site_type_symbol
_atom_site_fract_x
_atom_site_fract_y
_atom_site_fract_z
_atom_site_occupancy
Rb1 Rb 0.212 0.250 0.045 1
Mn1 Mn 0.220 0.750 0.786 1
Tl1 Tl 0.268 0.250 0.565 1
Br1 Br 0.002 0.502 0.278 1
Br2 Br 0.381 0.750 0.059 1
Br3 Br 0.427 0.750 0.630 1
```

=====

# 6
## Rb2MnTlBr6 (PBE)

Data for a relaxed Rb2MnTlBr6 crystal.

Summary:
Uncorrected formation energy = -1.1475 eV per atom

CIF file:
```
data_Rb2MnTlBr6
_cell_length_a 7.811
_cell_length_b 8.075
_cell_length_c 13.639
_cell_angle_alpha 90.00
_cell_angle_beta 124.43
_cell_angle_gamma 90.00
_symmetry_space_group_name_H-M 'P 1 21/c 1'
_symmetry_Int_Tables_number 14
loop_
_symmetry_equiv_pos_as_xyz
'x,y,z'
'-x,-y,-z'
'-x,y+1/2,-z+1/2'
'x,-y+1/2,z+1/2'
loop_
_atom_site_label
_atom_site_type_symbol
_atom_site_fract_x
_atom_site_fract_y
_atom_site_fract_z
_atom_site_occupancy
Rb1 Rb 0.230 0.060 0.247 1
Mn1 Mn 0.000 0.000 0.500 1
Tl1 Tl 0.500 0.000 0.000 1
Br1 Br 0.147 0.233 0.965 1
Br2 Br 0.232 0.681 0.965 1
Br3 Br 0.292 0.009 0.725 1
```

=====

# 7
## RbMnTl2Br (PBE)

Data for a relaxed RbMnTl2Br crystal.

Summary:
Uncorrected formation energy = 0.2911 eV per atom

CIF file:
```
data_RbMnTl2Br
_cell_length_a 6.409
_cell_length_b 6.409
_cell_length_c 5.067
_cell_angle_alpha 90.00
_cell_angle_beta 90.00
_cell_angle_gamma 90.00
_symmetry_space_group_name_H-M 'P 4/m m m'
_symmetry_Int_Tables_number 123
_symmetry_space_group_name_Hall '-P 4 2'
loop_
_atom_site_label
_atom_site_type_symbol
_atom_site_fract_x
_atom_site_fract_y
_atom_site_fract_z
_atom_site_occupancy
Rb1 Rb 0.000 0.000 0.000 1
Mn1 Mn 0.500 0.500 0.000 1
Tl1 Tl 0.000 0.500 0.500 1
Br1 Br 0.500 0.500 0.500 1
```

=====

# 8
## RbMn4Tl3Br12 (PBE)

Data for a relaxed RbMn4Tl3Br12 crystal.

Summary:
Uncorrected formation energy = -0.8081 eV per atom

CIF file:
```
data_RbMn4Tl3Br12
_cell_length_a 16.7296
_cell_length_b 16.7296
_cell_length_c 10.6335
_cell_angle_alpha 90.00
_cell_angle_beta 90.00
_cell_angle_gamma 120.00
_symmetry_space_group_name_H-M 'R 3 2'
_symmetry_Int_Tables_number 155
_symmetry_space_group_name_Hall 'R 3 2"'
loop_
_atom_site_label
_atom_site_type_symbol
_atom_site_fract_x
_atom_site_fract_y
_atom_site_fract_z
_atom_site_occupancy
Rb1 Rb 0.0000 0.0000 0.0000 1
Mn1 Mn 0.0000 0.0000 0.5000 1
Mn2 Mn 0.0000 0.4554 0.5000 1
Tl1 Tl 0.0000 0.5411 0.0000 1
Br1 Br 0.0000 0.6000 0.5000 1
Br2 Br 0.0000 0.8556 0.5000 1
Br3 Br 0.0151 0.1970 0.1811 1
```

=====

# 9
## RbMn2VBr8 (PBE)

Data for a relaxed RbMn2VBr8 crystal.

Summary:
Uncorrected formation energy = -0.8590 eV per atom

CIF file:
```
data_RbMn2VBr8
_cell_length_a 6.6123
_cell_length_b 6.6123
_cell_length_c 32.5292
_cell_angle_alpha 90.00
_cell_angle_beta 90.00
_cell_angle_gamma 120.00
_symmetry_space_group_name_H-M 'R 3 2'
_symmetry_Int_Tables_number 155
_symmetry_space_group_name_Hall 'R 3 2"'
loop_
_atom_site_label
_atom_site_type_symbol
_atom_site_fract_x
_atom_site_fract_y
_atom_site_fract_z
_atom_site_occupancy
Rb1 Rb 0.0000 0.0000 0.0000 1
Mn1 Mn 0.0000 0.0000 0.2396 1
V1 V 0.0000 0.0000 0.5000 1
Br1 Br 0.0000 0.0000 0.3142 1
Br2 Br 0.0202 0.3747 0.2189 1
```

=====

# 10
## RbMnVBr6 (PBE)

Data for a relaxed RbMnVBr6 crystal.

Summary:
Uncorrected formation energy = -1.0328 eV per atom

CIF file:
```
data_RbMnVBr6
_cell_length_a 6.8368
_cell_length_b 6.8368
_cell_length_c 7.7611
_cell_angle_alpha 90.00
_cell_angle_beta 90.00
_cell_angle_gamma 120.00
_symmetry_space_group_name_H-M 'P 3 1 2'
_symmetry_Int_Tables_number 149
loop_
_symmetry_equiv_pos_as_xyz
'x,y,z'
'-y,x-y,z'
'-x+y,-x,z'
'-y,-x,-z'
'-x+y,y,-z'
'x,x-y,-z'
loop_
_atom_site_label
_atom_site_type_symbol
_atom_site_fract_x
_atom_site_fract_y
_atom_site_fract_z
_atom_site_occupancy
Rb1 Rb 0.0000 0.0000 0.0000 1
Mn1 Mn 0.6667 0.3333 0.5000 1
V1 V 0.3333 0.6667 0.5000 1
Br1 Br 0.0123 0.3773 0.6911 1
```

=====

Magnetization for the records above, in order: 2.5, 5.0, 16.0, 28.0, 10.0, 8.0, 4.4, 60.0, 36.0, 7.0 μB per cell
Calculated density for the records above, in order: 4.5, 3.2, 4.2, 4.1, 4.2, 4.3, 5.0, 3.6, 3.6, 3.5 g/cm3